No. 1
VASP calculation (PBE) on a relaxed structure of Cu2SiMo.

Lattice parameters (Å, degrees): 2.9730 2.9730 5.9068 90.00 90.00 90.00
Positions (direct):
Cu 0.0000 0.0000 0.0000
Cu 0.5000 0.5000 0.2294
Si 0.5000 0.5000 0.7764
Mo 0.0000 0.0000 0.5158



No. 2
VASP calculation (PBE) on a relaxed structure of KCrIr4.

Lattice parameters (Å, degrees): 5.3040 5.3040 5.3040 60.00 60.00 60.00
Positions (direct):
K 0.0000 0.0000 0.0000
Cr 0.7500 0.7500 0.7500
Ir 0.3755 0.3755 0.3755
Ir 0.3755 0.3755 0.8736
Ir 0.3755 0.8736 0.3755
Ir 0.8736 0.3755 0.3755

Computed properties:
- ΔH_f (0 K): 0.594 eV per atom



No. 3
VASP calculation (PBE) on a relaxed structure of Ga3PtRh.

Lattice parameters (Å, degrees): 4.6787 4.6787 4.6787 90.00 90.00 90.00
Positions (direct):
Ga 0.0000 0.0000 0.5000
Ga 0.0000 0.5000 0.0000
Ga 0.5000 0.0000 0.0000
Pt 0.5000 0.5000 0.5000
Rh 0.0000 0.0000 0.0000

Computed properties:
- ΔH_f (0 K): 0.077 eV per atom



No. 4
VASP calculation (PBE) on a relaxed structure of Tb4NdIn3.

Lattice parameters (Å, degrees): 9.0384 9.0384 9.0384 157.56 121.57 63.40
Positions (direct):
Tb 0.0572 0.8599 0.1973
Tb 0.3374 0.1401 0.1973
Tb 0.6626 0.8599 0.8027
Tb 0.9428 0.1401 0.8027
Nd 0.5000 0.0000 0.5000
In 0.0000 0.5000 0.5000
In 0.3136 0.3136 0.0000
In 0.6864 0.6864 0.0000

Computed properties:
- ΔH_f (0 K): -0.230 eV per atom



No. 5
VASP calculation (PBE) on a relaxed structure of TmPaHgPd.

Lattice parameters (Å, degrees): 5.0941 5.0941 5.0941 60.00 60.00 60.00
Positions (direct):
Tm 0.0000 0.0000 0.0000
Pa 0.5000 0.5000 0.5000
Hg 0.7500 0.7500 0.7500
Pd 0.2500 0.2500 0.2500

Computed properties:
- ΔH_f (0 K): -0.264 eV per atom



No. 6
VASP calculation (PBE) on a relaxed structure of TmCuGe.

Lattice parameters (Å, degrees): 5.5586 5.7125 7.6036 90.00 112.83 90.00
Positions (direct):
Tm 0.1981 0.1357 0.3795
Tm 0.1981 0.3643 0.8795
Tm 0.8019 0.6357 0.1205
Tm 0.8019 0.8643 0.6205
Cu 0.2055 0.6081 0.5153
Cu 0.2055 0.8919 0.0153
Cu 0.7945 0.1081 0.9847
Cu 0.7945 0.3919 0.4847
Ge 0.3806 0.6065 0.2686
Ge 0.3806 0.8935 0.7686
Ge 0.6194 0.1065 0.2314
Ge 0.6194 0.3935 0.7314

Computed properties:
- ΔH_f (0 K): -0.543 eV per atom



Table of magnetization (μB/f.u.), in record order: 0.000; 1.806; 0.000; 0.319; 0.421; 0.000
Table of energy (eV/cell), in record order: -24.07; -42.60; -22.09; -33.35; -20.52; -59.26